Entry 1:
The following is a PBE calculation of a relaxed Ba3SiSb3 crystal, from the Alexandria database.

Cell: 11.253 11.253 14.192 Å, 90.00 90.00 37.51°
Fractional coordinates of all 28 atoms:
Ba 0.015 0.640 0.129
Ba 0.140 0.515 0.629
Ba 0.192 0.808 0.858
Ba 0.308 0.692 0.358
Ba 0.360 0.985 0.129
Ba 0.485 0.860 0.629
Ba 0.515 0.140 0.371
Ba 0.640 0.015 0.871
Ba 0.692 0.308 0.642
Ba 0.808 0.192 0.142
Ba 0.860 0.485 0.371
Ba 0.985 0.360 0.871
Si 0.085 0.085 0.500
Si 0.415 0.415 0.000
Si 0.585 0.585 0.000
Si 0.915 0.915 0.500
Sb 0.031 0.649 0.382
Sb 0.149 0.531 0.882
Sb 0.203 0.797 0.607
Sb 0.297 0.703 0.107
Sb 0.351 0.969 0.382
Sb 0.469 0.851 0.882
Sb 0.531 0.149 0.118
Sb 0.649 0.031 0.618
Sb 0.703 0.297 0.893
Sb 0.797 0.203 0.393
Sb 0.851 0.469 0.118
Sb 0.969 0.351 0.618

Summary:
As for the total energy: -115.383 eV for the cell shown. Its formation energy without anion corrections is -0.755 eV per atom. For the volume, the calculation gives 1094.46 Å³/cell. For the density, the calculation gives 4.89 g/cm3.

***

Entry 2:
The following is a PBE calculation of a relaxed BaSiSb crystal, from the Alexandria database.

Cell: 5.258 5.258 5.258 Å, 60.00 60.00 60.00°
Fractional coordinates of all 3 atoms:
Ba 0.000 0.000 0.000
Si 0.250 0.250 0.250
Sb 0.500 0.500 0.500

Summary:
As for the total energy: -11.727 eV for the cell shown. Its formation energy without anion corrections is -0.086 eV per atom. For the volume, the calculation gives 102.76 Å³/cell. For the density, the calculation gives 4.64 g/cm3.

***

Entry 3:
The following is a PBE calculation of a relaxed Ba2SiSb2 crystal, from the Alexandria database.

Cell: 8.067 8.067 5.248 Å, 90.00 90.00 90.00°
Fractional coordinates of all 10 atoms:
Ba 0.179 0.321 0.000
Ba 0.321 0.821 0.000
Ba 0.679 0.179 0.000
Ba 0.821 0.679 0.000
Si 0.000 0.000 0.500
Si 0.500 0.500 0.500
Sb 0.129 0.629 0.500
Sb 0.371 0.129 0.500
Sb 0.629 0.871 0.500
Sb 0.871 0.371 0.500

Summary:
As for the total energy: -40.038 eV for the cell shown. Its formation energy without anion corrections is -0.501 eV per atom. For the volume, the calculation gives 341.50 Å³/cell. For the density, the calculation gives 5.31 g/cm3.

***

Entry 4:
The following is a PBE calculation of a relaxed BaSiSb2Te crystal, from the Alexandria database.

Cell: 6.263 6.263 6.318 Å, 90.00 90.00 90.00°
Fractional coordinates of all 5 atoms:
Ba 0.000 0.000 0.000
Si 0.500 0.500 0.500
Sb 0.000 0.500 0.000
Sb 0.500 0.000 0.000
Te 0.000 0.000 0.500

Summary:
As for the total energy: -12.548 eV for the cell shown. Its formation energy without anion corrections is 1.237 eV per atom. For the volume, the calculation gives 247.82 Å³/cell. For the density, the calculation gives 3.60 g/cm3.

***

Entry 5:
The following is a PBE calculation of a relaxed BaSiSbTe2 crystal, from the Alexandria database.

Cell: 6.437 6.437 6.403 Å, 90.00 90.00 90.00°
Fractional coordinates of all 5 atoms:
Ba 0.000 0.000 0.000
Si 0.500 0.500 0.500
Sb 0.000 0.000 0.500
Te 0.000 0.500 0.000
Te 0.500 0.000 0.000

Summary:
As for the total energy: -12.602 eV for the cell shown. Its formation energy without anion corrections is 1.030 eV per atom. For the volume, the calculation gives 265.32 Å³/cell. For the density, the calculation gives 3.39 g/cm3.

***

Entry 6:
The following is a PBE calculation of a relaxed BaSiSb2Te crystal, from the Alexandria database.

Cell: 5.358 5.358 5.587 Å, 90.00 90.00 90.00°
Fractional coordinates of all 5 atoms:
Ba 0.000 0.000 0.000
Si 0.500 0.500 0.500
Sb 0.000 0.500 0.500
Sb 0.500 0.000 0.500
Te 0.500 0.500 0.000

Summary:
As for the total energy: -19.639 eV for the cell shown. Its formation energy without anion corrections is -0.181 eV per atom. For the volume, the calculation gives 160.41 Å³/cell. For the density, the calculation gives 5.55 g/cm3.